DFT (PBE-GGA) results for crystalline Pm2Er3Hg3 at its relaxed geometry.

Output
For the density of states at the Fermi level, the calculation gives 13.9 states/eV/cell. As for the spin magnetization: 0.00 Bohr magnetons per cell. For the formation energy from the elements, the calculation gives -345 meV/atom.

Geometry as CIF:
```
data_Pm2Er3Hg3
_space_group_name_H-M_alt 'I m m m'
_space_group_IT_number 71
_space_group_name_Hall '-I 2 2'
_cell_length_a 3.751
_cell_length_b 5.265
_cell_length_c 22.287
_cell_angle_alpha 90.00
_cell_angle_beta 90.00
_cell_angle_gamma 90.00
loop_
_atom_site_label
_atom_site_type_symbol
_atom_site_fract_x
_atom_site_fract_y
_atom_site_fract_z
Pm1 Pm 0.000 0.000 0.231
Er1 Er 0.000 0.000 0.000
Er2 Er 0.000 0.500 0.118
Hg1 Hg 0.000 0.000 0.500
Hg2 Hg 0.000 0.500 0.386
```


DFT (PBE-GGA) results for crystalline PmEr2Hg at its relaxed geometry.

Output
For the density of states at the Fermi level, the calculation gives 25.9 states/eV/cell. As for the spin magnetization: 3.92 Bohr magnetons per cell. For the formation energy from the elements, the calculation gives -10 meV/atom. The relative energy among the computed polymorphs comes out at 226 meV/atom.

Geometry as CIF:
```
data_PmEr2Hg
_space_group_name_H-M_alt 'F m -3 m'
_space_group_IT_number 225
_space_group_name_Hall '-F 4 2 3'
_cell_length_a 7.642
_cell_length_b 7.642
_cell_length_c 7.642
_cell_angle_alpha 90.00
_cell_angle_beta 90.00
_cell_angle_gamma 90.00
loop_
_atom_site_label
_atom_site_type_symbol
_atom_site_fract_x
_atom_site_fract_y
_atom_site_fract_z
Pm1 Pm 0.000 0.000 0.000
Er1 Er 0.250 0.250 0.250
Hg1 Hg 0.000 0.000 0.500
```


DFT (PBE-GGA) results for crystalline PmEr5Hg6 at its relaxed geometry.

Output
For the density of states at the Fermi level, the calculation gives 23.2 states/eV/cell. As for the spin magnetization: 0.60 Bohr magnetons per cell. For the formation energy from the elements, the calculation gives -474 meV/atom.

Geometry as CIF:
```
data_PmEr5Hg6
_space_group_name_H-M_alt 'I m m m'
_space_group_IT_number 71
_space_group_name_Hall '-I 2 2'
_cell_length_a 5.224
_cell_length_b 7.479
_cell_length_c 15.712
_cell_angle_alpha 90.00
_cell_angle_beta 90.00
_cell_angle_gamma 90.00
loop_
_atom_site_label
_atom_site_type_symbol
_atom_site_fract_x
_atom_site_fract_y
_atom_site_fract_z
Pm1 Pm 0.000 0.000 0.000
Er1 Er 0.000 0.000 0.332
Er2 Er 0.000 0.500 0.000
Er3 Er 0.000 0.500 0.336
Hg1 Hg 0.000 0.237 0.500
Hg2 Hg 0.000 0.257 0.170
```


DFT (PBE-GGA) results for crystalline PmEr2Hg at its relaxed geometry.

Output
For the density of states at the Fermi level, the calculation gives 5.3 states/eV/cell. As for the spin magnetization: 0.48 Bohr magnetons per cell. For the formation energy from the elements, the calculation gives -154 meV/atom. The relative energy among the computed polymorphs comes out at 82 meV/atom.

Geometry as CIF:
```
data_PmEr2Hg
_space_group_name_H-M_alt 'P 4/m m m'
_space_group_IT_number 123
_space_group_name_Hall '-P 4 2'
_cell_length_a 4.830
_cell_length_b 4.830
_cell_length_c 4.791
_cell_angle_alpha 90.00
_cell_angle_beta 90.00
_cell_angle_gamma 90.00
loop_
_atom_site_label
_atom_site_type_symbol
_atom_site_fract_x
_atom_site_fract_y
_atom_site_fract_z
Pm1 Pm 0.000 0.000 0.000
Er1 Er 0.000 0.500 0.500
Hg1 Hg 0.500 0.500 0.000
```


DFT (PBE-GGA) results for crystalline Pm2ErHg8 at its relaxed geometry.

Output
For the density of states at the Fermi level, the calculation gives 10.5 states/eV/cell. As for the spin magnetization: 0.00 Bohr magnetons per cell. For the formation energy from the elements, the calculation gives -333 meV/atom.

Geometry as CIF:
```
data_Pm2ErHg8
_space_group_name_H-M_alt 'C 1 2/m 1'
_space_group_IT_number 12
_cell_length_a 16.036
_cell_length_b 5.038
_cell_length_c 7.249
_cell_angle_alpha 90.00
_cell_angle_beta 109.81
_cell_angle_gamma 90.00
loop_
_space_group_symop_operation_xyz
'x,y,z'
'-x,-y,-z'
'-x,y,-z'
'x,-y,z'
'x+1/2,y+1/2,z'
'-x+1/2,-y+1/2,-z'
'-x+1/2,y+1/2,-z'
'x+1/2,-y+1/2,z'
loop_
_atom_site_label
_atom_site_type_symbol
_atom_site_fract_x
_atom_site_fract_y
_atom_site_fract_z
Pm1 Pm 0.211 0.000 0.157
Er1 Er 0.000 0.500 0.500
Hg1 Hg 0.020 0.000 0.229
Hg2 Hg 0.095 0.500 0.946
Hg3 Hg 0.151 0.000 0.666
Hg4 Hg 0.166 0.500 0.393
```


DFT (PBE-GGA) results for crystalline Pm2ErHg at its relaxed geometry.

Output
For the density of states at the Fermi level, the calculation gives 22.5 states/eV/cell. As for the spin magnetization: 0.00 Bohr magnetons per cell. For the formation energy from the elements, the calculation gives -77 meV/atom. The relative energy among the computed polymorphs comes out at 151 meV/atom.

Geometry as CIF:
```
data_Pm2ErHg
_space_group_name_H-M_alt 'F m -3 m'
_space_group_IT_number 225
_space_group_name_Hall '-F 4 2 3'
_cell_length_a 7.761
_cell_length_b 7.761
_cell_length_c 7.761
_cell_angle_alpha 90.00
_cell_angle_beta 90.00
_cell_angle_gamma 90.00
loop_
_atom_site_label
_atom_site_type_symbol
_atom_site_fract_x
_atom_site_fract_y
_atom_site_fract_z
Pm1 Pm 0.250 0.250 0.250
Er1 Er 0.000 0.000 0.000
Hg1 Hg 0.000 0.000 0.500
```


DFT (PBE-GGA) results for crystalline Pm3ErHg5 at its relaxed geometry.

Output
For the density of states at the Fermi level, the calculation gives 17.5 states/eV/cell. As for the spin magnetization: 0.00 Bohr magnetons per cell. For the formation energy from the elements, the calculation gives -431 meV/atom.

Geometry as CIF:
```
data_Pm3ErHg5
_space_group_name_H-M_alt 'P 63/m c m'
_space_group_IT_number 193
_space_group_name_Hall '-P 6c 2'
_cell_length_a 9.2291
_cell_length_b 9.2291
_cell_length_c 6.6218
_cell_angle_alpha 90.00
_cell_angle_beta 90.00
_cell_angle_gamma 120.00
loop_
_atom_site_label
_atom_site_type_symbol
_atom_site_fract_x
_atom_site_fract_y
_atom_site_fract_z
Pm1 Pm 0.0000 0.3713 0.2500
Er1 Er 0.0000 0.0000 0.0000
Hg1 Hg 0.0000 0.2933 0.7500
Hg2 Hg 0.3333 0.6667 0.0000
```


DFT (PBE-GGA) results for crystalline Pm4ErHg at its relaxed geometry.

Output
For the density of states at the Fermi level, the calculation gives 32.5 states/eV/cell. As for the spin magnetization: 0.00 Bohr magnetons per cell. For the formation energy from the elements, the calculation gives -49 meV/atom. The relative energy among the computed polymorphs comes out at 96 meV/atom.

Geometry as CIF:
```
data_Pm4ErHg
_space_group_name_H-M_alt 'C 1 2/c 1'
_space_group_IT_number 15
_cell_length_a 8.919
_cell_length_b 14.137
_cell_length_c 6.462
_cell_angle_alpha 90.00
_cell_angle_beta 109.15
_cell_angle_gamma 90.00
loop_
_space_group_symop_operation_xyz
'x,y,z'
'-x,-y,-z'
'-x,y,-z+1/2'
'x,-y,z+1/2'
'x+1/2,y+1/2,z'
'-x+1/2,-y+1/2,-z'
'-x+1/2,y+1/2,-z+1/2'
'x+1/2,-y+1/2,z+1/2'
loop_
_atom_site_label
_atom_site_type_symbol
_atom_site_fract_x
_atom_site_fract_y
_atom_site_fract_z
Pm1 Pm 0.100 0.189 0.048
Pm2 Pm 0.216 0.385 0.375
Er1 Er 0.000 0.408 0.750
Hg1 Hg 0.000 0.001 0.750
```


DFT (PBE-GGA) results for crystalline Pm5Er4Hg at its relaxed geometry.

Output
For the density of states at the Fermi level, the calculation gives 14.1 states/eV/cell. As for the spin magnetization: 0.00 Bohr magnetons per cell. For the formation energy from the elements, the calculation gives -72 meV/atom.

Geometry as CIF:
```
data_Pm5Er4Hg
_space_group_name_H-M_alt 'P 4/m m m'
_space_group_IT_number 123
_space_group_name_Hall '-P 4 2'
_cell_length_a 3.619
_cell_length_b 3.619
_cell_length_c 24.112
_cell_angle_alpha 90.00
_cell_angle_beta 90.00
_cell_angle_gamma 90.00
loop_
_atom_site_label
_atom_site_type_symbol
_atom_site_fract_x
_atom_site_fract_y
_atom_site_fract_z
Pm1 Pm 0.000 0.000 0.000
Pm2 Pm 0.000 0.000 0.206
Pm3 Pm 0.000 0.000 0.414
Er1 Er 0.500 0.500 0.103
Er2 Er 0.500 0.500 0.310
Hg1 Hg 0.500 0.500 0.500
```


DFT (PBE-GGA) results for crystalline Pm3ErHg12 at its relaxed geometry.

Output
For the density of states at the Fermi level, the calculation gives 13.0 states/eV/cell. As for the spin magnetization: 0.00 Bohr magnetons per cell. For the formation energy from the elements, the calculation gives -333 meV/atom.

Geometry as CIF:
```
data_Pm3ErHg12
_space_group_name_H-M_alt 'P 4/m m m'
_space_group_IT_number 123
_space_group_name_Hall '-P 4 2'
_cell_length_a 4.602
_cell_length_b 4.602
_cell_length_c 19.133
_cell_angle_alpha 90.00
_cell_angle_beta 90.00
_cell_angle_gamma 90.00
loop_
_atom_site_label
_atom_site_type_symbol
_atom_site_fract_x
_atom_site_fract_y
_atom_site_fract_z
Pm1 Pm 0.000 0.000 0.000
Pm2 Pm 0.000 0.000 0.253
Er1 Er 0.000 0.000 0.500
Hg1 Hg 0.000 0.500 0.126
Hg2 Hg 0.000 0.500 0.379
Hg3 Hg 0.500 0.500 0.000
Hg4 Hg 0.500 0.500 0.252
Hg5 Hg 0.500 0.500 0.500
```


DFT (PBE-GGA) results for crystalline Pm3ErHg4 at its relaxed geometry.

Output
For the density of states at the Fermi level, the calculation gives 15.0 states/eV/cell. As for the spin magnetization: 0.00 Bohr magnetons per cell. For the formation energy from the elements, the calculation gives -331 meV/atom. The relative energy among the computed polymorphs comes out at 143 meV/atom.

Geometry as CIF:
```
data_Pm3ErHg4
_space_group_name_H-M_alt 'I m m m'
_space_group_IT_number 71
_space_group_name_Hall '-I 2 2'
_cell_length_a 3.817
_cell_length_b 7.619
_cell_length_c 16.278
_cell_angle_alpha 90.00
_cell_angle_beta 90.00
_cell_angle_gamma 90.00
loop_
_atom_site_label
_atom_site_type_symbol
_atom_site_fract_x
_atom_site_fract_y
_atom_site_fract_z
Pm1 Pm 0.000 0.000 0.000
Pm2 Pm 0.000 0.500 0.202
Er1 Er 0.000 0.000 0.500
Hg1 Hg 0.000 0.294 0.371
```


What is the spin magnetization in the tenth record?
0.00 Bohr magnetons per cell